1.
Compound: AgRu2Se
Source: Alexandria via LeMat-Bulk
Functional: GGA-PBEsol
Structure: optimized geometry

Cell lengths 2.883, 2.883, 8.425 Å; angles 80.15, 80.15, 60.00 degrees
Element x y z (fractional)
1 Ru 0.759 0.759 0.723
2 Ru 0.241 0.241 0.277
3 Ag 0.000 0.000 0.000
4 Se 0.500 0.500 0.500

Calculated values
SG	No. 166
DOS at the Fermi energy	3.3	states/eV/cell
V	59	Å³ per cell
raw formation energy	0.3659	eV/atom
mass density	10.86	Mg/m³

2.
Compound: AgRu2Se
Source: Alexandria via LeMat-Bulk
Functional: GGA-PBEsol
Structure: optimized geometry

Cell lengths 2.909, 4.107, 5.577 Å; angles 99.35, 90.00, 110.75 degrees
Element x y z (fractional)
1 Ru 0.255 0.511 0.296
2 Ru 0.745 0.489 0.704
3 Se 0.000 0.000 0.500
4 Ag 0.500 0.000 0.000

Calculated values
SG	No. 12
DOS at the Fermi energy	2.4	states/eV/cell
V	61	Å³ per cell
raw formation energy	0.4020	eV/atom
mass density	10.52	Mg/m³

3.
Compound: Si2AgRu
Source: Alexandria via LeMat-Bulk
Functional: GGA-PBEsol
Structure: optimized geometry

Cell lengths 5.570, 5.570, 6.544 Å; angles 115.19, 115.19, 90.00 degrees
Element x y z (fractional)
1 Ag 0.250 0.750 0.500
2 Ag 0.000 0.000 0.000
3 Si 0.842 0.375 0.250
4 Si 0.625 0.592 0.750
5 Si 0.408 0.875 0.250
6 Si 0.125 0.158 0.750
7 Ru 0.750 0.250 0.500
8 Ru 0.500 0.500 0.000

Calculated values
SG	No. 122
DOS at the Fermi energy	3.9	states/eV/cell
V	162	Å³ per cell
raw formation energy	0.4813	eV/atom
mass density	5.43	Mg/m³
offset from the most stable computed form	62.9	kJ per mole of atoms

4.
Compound: Si2AgRu
Source: Alexandria via LeMat-Bulk
Functional: GGA-PBEsol
Structure: optimized geometry

Cell lengths 2.987, 3.994, 4.831 Å; angles 90.00, 90.00, 90.00 degrees
Element x y z (fractional)
1 Si 0.500 0.000 0.500
2 Si 0.000 0.000 0.000
3 Ag 0.500 0.500 0.000
4 Ru 0.000 0.500 0.500

Calculated values
SG	No. 47
DOS at the Fermi energy	2.6	states/eV/cell
V	58	Å³ per cell
raw formation energy	0.1952	eV/atom
mass density	7.64	Mg/m³
offset from the most stable computed form	35.3	kJ per mole of atoms

5.
Compound: Si2AgRu
Source: Alexandria via LeMat-Bulk
Functional: GGA-PBEsol
Structure: optimized geometry

Cell lengths 2.755, 2.921, 7.438 Å; angles 89.97, 90.00, 90.00 degrees
Element x y z (fractional)
1 Si 0.000 0.000 0.798
2 Si 0.000 0.000 0.202
3 Ag 0.500 0.000 0.500
4 Ru 0.500 0.500 0.000

Calculated values
SG	No. 47
DOS at the Fermi energy	1.5	states/eV/cell
V	60	Å³ per cell
raw formation energy	-0.1707	eV/atom
mass density	7.35	Mg/m³
offset from the most stable computed form	0.0	kJ per mole of atoms

6.
Compound: SiAg2TeRu
Source: Alexandria via LeMat-Bulk
Functional: GGA-PBEsol
Structure: optimized geometry

Cell lengths 4.964, 4.964, 5.260 Å; angles 90.00, 90.00, 90.00 degrees
Last column: magnetic moment on the atom in μB.
Element x y z (fractional)
1 Ag 0.000 0.500 0.000  -0.01
2 Ag 0.500 0.000 0.000  -0.01
3 Ru 0.500 0.500 0.500  2.21
4 Te 0.000 0.000 0.000  -0.01
5 Si 0.000 0.000 0.500  -0.06

Calculated values
SG	No. 123
DOS at the Fermi energy	5.9	states/eV/cell
V	130	Å³ per cell
raw formation energy	1.7575	eV/atom
mass density	6.05	Mg/m³

7.
Compound: SrAg2Ru
Source: Alexandria via LeMat-Bulk
Functional: GGA-PBEsol
Structure: optimized geometry

Cell lengths 3.033, 4.906, 5.986 Å; angles 114.19, 104.68, 90.00 degrees
Element x y z (fractional)
1 Ag 0.719 0.719 0.439
2 Ag 0.281 0.281 0.561
3 Ru 0.000 0.500 0.000
4 Sr 0.500 0.000 0.000

Calculated values
formation enthalpy at 0 K	0.46	eV/atom
SG	No. 71
DOS at the Fermi energy	4.0	states/eV/cell
V	78	Å³ per cell
mass density	8.60	Mg/m³

8.
Compound: Sr2AgRu
Source: Alexandria via LeMat-Bulk
Functional: GGA-PBEsol
Structure: optimized geometry

Cell lengths 3.627, 3.627, 8.506 Å; angles 90.00, 90.00, 90.00 degrees
Element x y z (fractional)
1 Sr 0.000 0.000 0.913
2 Sr 0.500 0.500 0.340
3 Ag 0.000 0.000 0.569
4 Ru 0.500 0.500 0.678

Calculated values
formation enthalpy at 0 K	0.41	eV/atom
SG	No. 99
DOS at the Fermi energy	4.9	states/eV/cell
V	112	Å³ per cell
mass density	5.70	Mg/m³

9.
Compound: SrAg4Ru
Source: Alexandria via LeMat-Bulk
Functional: GGA-PBEsol
Structure: optimized geometry

Cell lengths 5.432, 5.432, 5.432 Å; angles 60.00, 60.00, 60.00 degrees
Element x y z (fractional)
1 Ru 0.750 0.750 0.750
2 Ag 0.376 0.376 0.873
3 Ag 0.376 0.376 0.376
4 Ag 0.873 0.376 0.376
5 Ag 0.376 0.873 0.376
6 Sr 0.000 0.000 0.000

Calculated values
formation enthalpy at 0 K	0.32	eV/atom
SG	No. 216
DOS at the Fermi energy	5.6	states/eV/cell
V	113	Å³ per cell
mass density	9.09	Mg/m³

10.
Compound: TaAg4Ru
Source: Alexandria via LeMat-Bulk
Functional: GGA-PBEsol
Structure: optimized geometry

Cell lengths 5.170, 5.170, 5.170 Å; angles 60.00, 60.00, 60.00 degrees
Element x y z (fractional)
1 Ag 0.625 0.625 0.625
2 Ag 0.625 0.125 0.625
3 Ag 0.125 0.625 0.625
4 Ag 0.625 0.625 0.125
5 Ru 0.250 0.250 0.250
6 Ta 0.000 0.000 0.000

Calculated values
formation enthalpy at 0 K	0.58	eV/atom
SG	No. 216
DOS at the Fermi energy	4.4	states/eV/cell
V	98	Å³ per cell
mass density	12.12	Mg/m³

11.
Compound: TaAg2Ru
Source: Alexandria via LeMat-Bulk
Functional: GGA-PBEsol
Structure: optimized geometry

Cell lengths 4.475, 4.475, 4.475 Å; angles 60.00, 60.00, 60.00 degrees
Element x y z (fractional)
1 Ag 0.750 0.750 0.750
2 Ag 0.250 0.250 0.250
3 Ru 0.000 0.000 0.000
4 Ta 0.500 0.500 0.500

Calculated values
formation enthalpy at 0 K	0.61	eV/atom
SG	No. 225
DOS at the Fermi energy	5.5	states/eV/cell
V	63	Å³ per cell
mass density	13.04	Mg/m³
offset from the most stable computed form	11.9	kJ per mole of atoms

12.
Compound: TaAg2Ru
Source: Alexandria via LeMat-Bulk
Functional: GGA-PBEsol
Structure: optimized geometry

Cell lengths 2.675, 2.675, 9.625 Å; angles 90.00, 90.00, 111.87 degrees
Element x y z (fractional)
1 Ag 0.000 0.000 0.255
2 Ag 0.000 0.000 0.745
3 Ta 0.500 0.500 0.000
4 Ru 0.500 0.500 0.500

Calculated values
formation enthalpy at 0 K	0.49	eV/atom
SG	No. 65
DOS at the Fermi energy	3.1	states/eV/cell
V	64	Å³ per cell
mass density	12.93	Mg/m³
offset from the most stable computed form	0.0	kJ per mole of atoms

Among the records above, which one has the lowest V? number 4

Which formula does entry 1 have? AgRu2Se